Compound: Li3AgPb2
Source: Alexandria
Functional: PBE
Structure: relaxed

```
data_Li3AgPb2
_chemical_formula_sum 'Li3 Ag1 Pb2'
_symmetry_space_group_name_H-M 'P 1 2/m 1'
_symmetry_Int_Tables_number 10
_symmetry_space_group_name_Hall '-P 2y'
_cell_length_a 4.758
_cell_length_b 3.523
_cell_length_c 7.510
_cell_angle_alpha 90.00
_cell_angle_beta 107.54
_cell_angle_gamma 90.00
loop_
_atom_site_label
_atom_site_fract_x
_atom_site_fract_y
_atom_site_fract_z
_atom_site_occupancy
Li1 0.000 0.000 0.000 1
Li2 0.313 0.000 0.681 1
Ag1 0.500 0.500 0.000 1
Pb1 0.189 0.500 0.324 1
```

Summary:
For the energy of formation from the pure elements, the calculation gives -0.2365 eV/atom. As for the energy above the lowest structure with this stoichiometry: 0 kJ/mol of formula units. The uncorrected energy comes out at -2.905 eV/atom.



Compound: K2Li3IrF12
Source: Alexandria
Functional: PBE
Structure: relaxed

```
data_K2Li3IrF12
_chemical_formula_sum 'K6 Li9 Ir3 F36'
_symmetry_space_group_name_H-M 'R -3 m'
_symmetry_Int_Tables_number 166
_symmetry_space_group_name_Hall '-R 3 2"'
_cell_length_a 6.9552
_cell_length_b 6.9552
_cell_length_c 20.1908
_cell_angle_alpha 90.00
_cell_angle_beta 90.00
_cell_angle_gamma 120.00
loop_
_atom_site_label
_atom_site_fract_x
_atom_site_fract_y
_atom_site_fract_z
_atom_site_occupancy
K1 0.0000 0.0000 0.0864 1
Li1 0.0000 0.5000 0.0000 1
Ir1 0.0000 0.0000 0.5000 1
F1 0.0614 0.5307 0.3600 1
F2 0.0715 0.5358 0.1138 1
```

Summary:
The formation energy (no corrections) is -2058 meV per atom. The uncorrected energy comes out at -4.239 eV/atom.



Compound: Tb5AlS4
Source: Alexandria
Functional: PBE
Structure: relaxed

```
data_Tb5AlS4
_chemical_formula_sum 'Tb10 Al2 S8'
_symmetry_space_group_name_H-M 'C 1 2/m 1'
_symmetry_Int_Tables_number 12
_symmetry_space_group_name_Hall '-C 2y'
_cell_length_a 13.386
_cell_length_b 3.918
_cell_length_c 9.947
_cell_angle_alpha 90.00
_cell_angle_beta 119.96
_cell_angle_gamma 90.00
loop_
_atom_site_label
_atom_site_fract_x
_atom_site_fract_y
_atom_site_fract_z
_atom_site_occupancy
Tb1 0.000 0.000 0.000 1
Tb2 0.109 0.500 0.397 1
Tb3 0.199 0.000 0.806 1
Al1 0.000 0.000 0.500 1
S1 0.099 0.500 0.904 1
S2 0.200 0.000 0.291 1
```

Summary:
The formation energy (no corrections) is -1641 meV per atom. The uncorrected energy comes out at -5.981 eV/atom.



Compound: YZrSi2
Source: Alexandria
Functional: PBE
Structure: relaxed

```
data_YZrSi2
_chemical_formula_sum 'Y2 Zr2 Si4'
_symmetry_space_group_name_H-M 'I m m 2'
_symmetry_Int_Tables_number 44
_symmetry_space_group_name_Hall 'I 2 -2'
_cell_length_a 4.020
_cell_length_b 4.033
_cell_length_c 9.794
_cell_angle_alpha 90.00
_cell_angle_beta 90.00
_cell_angle_gamma 90.00
loop_
_atom_site_label
_atom_site_fract_x
_atom_site_fract_y
_atom_site_fract_z
_atom_site_occupancy
Y1 0.000 0.000 0.000 1
Zr1 0.000 0.500 0.750 1
Si1 0.000 0.000 0.502 1
Si2 0.000 0.500 0.250 1
```

Summary:
As for the energy above the lowest structure with this stoichiometry: 128 kJ/mol of formula units. The formation energy (no corrections) is -507 meV per atom. The uncorrected energy comes out at -6.971 eV/atom.



Compound: Cs2UTeS4
Source: Alexandria
Functional: PBE
Structure: relaxed

```
data_Cs2UTeS4
_chemical_formula_sum 'Cs4 U2 Te2 S8'
_symmetry_space_group_name_H-M 'I -4'
_symmetry_Int_Tables_number 82
_symmetry_space_group_name_Hall 'I -4'
_cell_length_a 8.246
_cell_length_b 8.246
_cell_length_c 8.684
_cell_angle_alpha 90.00
_cell_angle_beta 90.00
_cell_angle_gamma 90.00
loop_
_atom_site_label
_atom_site_fract_x
_atom_site_fract_y
_atom_site_fract_z
_atom_site_occupancy
Cs1 0.000 0.000 0.000 1
Cs2 0.000 0.500 0.250 1
U1 0.000 0.500 0.750 1
Te1 0.000 0.000 0.500 1
S1 0.140 0.289 0.576 1
```

Summary:
The formation energy (no corrections) is -803 meV per atom. The uncorrected energy comes out at -4.884 eV/atom.



Compound: MgSe
Source: Alexandria
Functional: PBE
Structure: relaxed

```
data_MgSe
_chemical_formula_sum 'Mg2 Se2'
_symmetry_space_group_name_H-M 'P 4/n m m'
_symmetry_Int_Tables_number 129
_cell_length_a 4.608
_cell_length_b 4.608
_cell_length_c 4.935
_cell_angle_alpha 90.00
_cell_angle_beta 90.00
_cell_angle_gamma 90.00
loop_
_symmetry_equiv_pos_as_xyz
'x,y,z'
'-x,-y,-z'
'-y+1/2,x,z'
'y+1/2,-x,-z'
'-x+1/2,-y+1/2,z'
'x+1/2,y+1/2,-z'
'y,-x+1/2,z'
'-y,x+1/2,-z'
'x+1/2,-y,-z'
'-x+1/2,y,z'
'-y,-x,-z'
'y,x,z'
'-x,y+1/2,-z'
'x,-y+1/2,z'
'y+1/2,x+1/2,-z'
'-y+1/2,-x+1/2,z'
loop_
_atom_site_label
_atom_site_fract_x
_atom_site_fract_y
_atom_site_fract_z
_atom_site_occupancy
Mg1 0.250 0.750 0.000 1
Se1 0.250 0.250 0.256 1
```

Summary:
The formation energy (no corrections) is -1129 meV per atom. The uncorrected energy comes out at -3.669 eV/atom.



Compound: Nd4Be3SnPd12
Source: Alexandria
Functional: PBE
Structure: relaxed

```
data_Nd4Be3SnPd12
_chemical_formula_sum 'Nd8 Be6 Sn2 Pd24'
_symmetry_space_group_name_H-M 'I m -3 m'
_symmetry_Int_Tables_number 229
_symmetry_space_group_name_Hall '-I 4 2 3'
_cell_length_a 9.120
_cell_length_b 9.120
_cell_length_c 9.120
_cell_angle_alpha 90.00
_cell_angle_beta 90.00
_cell_angle_gamma 90.00
loop_
_atom_site_label
_atom_site_fract_x
_atom_site_fract_y
_atom_site_fract_z
_atom_site_occupancy
Nd1 0.250 0.250 0.250 1
Be1 0.000 0.000 0.500 1
Sn1 0.000 0.000 0.000 1
Pd1 0.000 0.000 0.276 1
Pd2 0.000 0.250 0.500 1
```

Summary:
For the energy of formation from the pure elements, the calculation gives -0.5365 eV/atom. The uncorrected energy comes out at -5.365 eV/atom.



Compound: Cd4InTe
Source: Alexandria
Functional: PBE
Structure: relaxed

```
data_Cd4InTe
_chemical_formula_sum 'Cd16 In4 Te4'
_symmetry_space_group_name_H-M 'F -4 3 m'
_symmetry_Int_Tables_number 216
_symmetry_space_group_name_Hall 'F -4 2 3'
_cell_length_a 8.558
_cell_length_b 8.558
_cell_length_c 8.558
_cell_angle_alpha 90.00
_cell_angle_beta 90.00
_cell_angle_gamma 90.00
loop_
_atom_site_label
_atom_site_fract_x
_atom_site_fract_y
_atom_site_fract_z
_atom_site_occupancy
Cd1 0.124 0.124 0.124 1
In1 0.250 0.250 0.750 1
Te1 0.000 0.000 0.500 1
```

Summary:
The formation energy (no corrections) is 103 meV per atom. The uncorrected energy comes out at -1.487 eV/atom.